# Li3CrClO4 (GGA+U, relaxed)
data_Li3CrClO4
_cell_length_a 6.8208
_cell_length_b 6.8208
_cell_length_c 4.8481
_cell_angle_alpha 90.00
_cell_angle_beta 90.00
_cell_angle_gamma 90.00
_symmetry_space_group_name_H-M 'P 4/n m m'
_symmetry_Int_Tables_number 129
loop_
_symmetry_equiv_pos_as_xyz
'x,y,z'
'-x,-y,-z'
'-y+1/2,x,z'
'y+1/2,-x,-z'
'-x+1/2,-y+1/2,z'
'x+1/2,y+1/2,-z'
'y,-x+1/2,z'
'-y,x+1/2,-z'
'x+1/2,-y,-z'
'-x+1/2,y,z'
'-y,-x,-z'
'y,x,z'
'-x,y+1/2,-z'
'x,-y+1/2,z'
'y+1/2,x+1/2,-z'
'-y+1/2,-x+1/2,z'
loop_
_atom_site_label
_atom_site_type_symbol
_atom_site_fract_x
_atom_site_fract_y
_atom_site_fract_z
_atom_site_occupancy
Li1 Li 0.0000 0.0000 0.0000 1
Li2 Li 0.2500 0.2500 0.3510 1
Cr1 Cr 0.2500 0.7500 0.5000 1
Cl1 Cl 0.2500 0.2500 0.8314 1
O1 O 0.0548 0.7500 0.7078 1
# Total energy in eV per atom: -5.587
# Volume in Å³ per atom: 12.53
# Density in g/cm³: 2.5